(1)
A relaxed SrAlCl2 crystal, computed with PBE-GGA.

Calculated values
The spin magnetization is 0.9 μB per formula unit. The energy relative to the lowest polymorph listed for this composition is 134 meV/atom.

abc: 5.5400 5.5400 5.5400
angles: 115.94 115.94 97.20
Closest atoms and distances in Å follow each position.
Atoms (fractional coordinates):
1 Sr 0.0000 0.0000 0.0000  4 Cl 2.94
2 Al 0.5000 0.5000 0.0000  4 Cl 2.94
3 Cl 0.0000 0.5000 0.5000  2 Al 2.94, 2 Sr 2.94
4 Cl 0.5000 0.0000 0.5000  2 Al 2.94, 2 Sr 2.94

=====

(2)
A relaxed AcAg2Pb crystal, computed with PBE-GGA.

Calculated values
The spin magnetization is 0.0 μB per formula unit. As for the energy of formation: -0.290 eV/atom.

abc: 5.3210 5.3210 5.3210
angles: 60.00 60.00 60.00
Closest atoms and distances in Å follow each position.
Atoms (fractional coordinates):
1 Ac 0.0000 0.0000 0.0000  8 Ag 3.26
2 Ag 0.2500 0.2500 0.2500  4 Pb 3.26, 4 Ac 3.26
3 Ag 0.7500 0.7500 0.7500  4 Pb 3.26, 4 Ac 3.26
4 Pb 0.5000 0.5000 0.5000  8 Ag 3.26

=====

(3)
A relaxed Mn2AlSe crystal, computed with PBE-GGA.

Calculated values
The spin magnetization is 5.2 μB per formula unit. The energy relative to the lowest polymorph listed for this composition is 0 meV/atom.

abc: 3.1840 3.1840 6.6649
angles: 90.00 90.00 90.00
Closest atoms and distances in Å follow each position.
Atoms (fractional coordinates):
1 Mn 0.0000 0.0000 0.0000  4 Al 2.53, 1 Se 2.54, 4 Mn 2.71
2 Mn 0.5000 0.5000 0.2261  4 Se 2.48, 1 Al 2.67, 4 Mn 2.71
3 Al 0.5000 0.5000 0.8261  5 Mn 2.53-2.67
4 Se 0.0000 0.0000 0.3813  5 Mn 2.48-2.54

=====

(4)
A relaxed RbNa2NiSn crystal, computed with PBE-GGA.

Calculated values
The spin magnetization is 0.0 μB per formula unit. As for the energy of formation: 0.015 eV/atom.

abc: 5.6486 5.6486 4.8966
angles: 90.00 90.00 90.00
Closest atoms and distances in Å follow each position.
Atoms (fractional coordinates):
1 Rb 0.0000 0.0000 0.0000  8 Na 3.74, 4 Sn 3.99
2 Na 0.0000 0.5000 0.5000  2 Ni 2.82
3 Na 0.5000 0.0000 0.5000  2 Ni 2.82
4 Ni 0.5000 0.5000 0.5000  2 Sn 2.45
5 Sn 0.5000 0.5000 0.0000  2 Ni 2.45

=====

(5)
A relaxed CoICl2 crystal, computed with PBE-GGA.

Calculated values
The spin magnetization is 0.0 μB per formula unit. The energy relative to the lowest polymorph listed for this composition is 0 meV/atom.

abc: 5.9123 5.9544 10.7437
angles: 90.00 90.00 90.00
Closest atoms and distances in Å follow each position.
Atoms (fractional coordinates):
1 Co 0.2500 0.0000 0.0823  4 Cl 2.24-2.33
2 Co 0.2500 0.5000 0.4177  4 Cl 2.24-2.33
3 Co 0.7500 0.0000 0.9177  4 Cl 2.24-2.33
4 Co 0.7500 0.5000 0.5823  4 Cl 2.24-2.33
5 I 0.0528 0.2500 0.2500  2 Co 2.61
6 I 0.4472 0.7500 0.2500  2 Co 2.61
7 I 0.5528 0.2500 0.7500  2 Co 2.61
8 I 0.9472 0.7500 0.7500  2 Co 2.61
9 Cl 0.0639 0.2090 0.9300  2 Co 2.24-2.33
10 Cl 0.0639 0.2910 0.5700  2 Co 2.24-2.33
11 Cl 0.4361 0.7090 0.5700  2 Co 2.24-2.33
12 Cl 0.4361 0.7910 0.9300  2 Co 2.24-2.33
13 Cl 0.5639 0.2090 0.0700  2 Co 2.24-2.33
14 Cl 0.5639 0.2910 0.4300  2 Co 2.24-2.33
15 Cl 0.9361 0.7090 0.4300  2 Co 2.24-2.33
16 Cl 0.9361 0.7910 0.0700  2 Co 2.24-2.33

=====

(6)
A relaxed MnOsW crystal, computed with PBE-GGA.

Calculated values
The spin magnetization is 0.0 μB per formula unit. The energy relative to the lowest polymorph listed for this composition is 0 meV/atom. As for the energy of formation: 0.108 eV/atom.

abc: 6.0386 6.0386 6.0386
angles: 154.14 154.14 36.90
Closest atoms and distances in Å follow each position.
Atoms (fractional coordinates):
1 Mn 0.0000 0.0000 0.0000  4 Os 2.50, 4 Mn 2.70, 4 W 2.74
2 Os 0.6408 0.6408 0.0000  4 Mn 2.50, 4 Os 2.70
3 W 0.3284 0.3284 0.0000  4 W 2.70, 4 Mn 2.74, 4 Os 2.88